(1)
Material: MnGaIF2
Method: DFT, PBE+U
State: optimized geometry

Geometry as POSCAR:
```
MnGaIF2
1.0
4.3144 0.0000 0.0000
0.0000 4.3144 0.0000
0.0000 0.0000 6.0609
Mn Ga I F
1 1 1 2
Direct
0.0000 0.0000 0.0000
0.5000 0.5000 0.5000
0.0000 0.0000 0.5000
0.0000 0.5000 0.0000
0.5000 0.0000 0.0000
```

Calculated values
Final energy, eV per atom: -4.688

(2)
Material: GaMoI2F
Method: DFT, PBE+U
State: optimized geometry

Geometry as POSCAR:
```
GaMoI2F
1.0
5.7962 0.0000 0.0000
0.0000 5.7962 0.0000
0.0000 0.0000 4.1237
Ga Mo I F
1 1 2 1
Direct
0.0000 0.0000 0.0000
0.5000 0.5000 0.5000
0.0000 0.5000 0.0000
0.5000 0.0000 0.0000
0.0000 0.0000 0.5000
```

Calculated values
Final energy, eV per atom: -3.379

Please write out number 2 again, unchanged.
Material: GaMoI2F
Method: DFT, PBE+U
State: optimized geometry

Geometry as POSCAR:
```
GaMoI2F
1.0
5.7962 0.0000 0.0000
0.0000 5.7962 0.0000
0.0000 0.0000 4.1237
Ga Mo I F
1 1 2 1
Direct
0.0000 0.0000 0.0000
0.5000 0.5000 0.5000
0.0000 0.5000 0.0000
0.5000 0.0000 0.0000
0.0000 0.0000 0.5000
```

Calculated values
Final energy, eV per atom: -3.379

Q: Which formula does entry 2 have?
A: GaMoI2F

Q: The lowest final energy belongs to which entry?
A: MnGaIF2

Q: final energy of number 2 (GaMoI2F)?
A: -3.379 eV per atom